Computed, not measured: Yb6Ho after structural relaxation at the PBE level of DFT.

## Properties
**Raw total energy**: -5.50 eV/f.u.
**V**: 46.69 A^3/atom
**ρ**: 6.11 g/cm³
**Energy relative to the elements**: 8.2 eV/f.u.

Unit cell a=8.6785 b=8.6785 c=8.6785 alpha=90.00 beta=90.00 gamma=90.00
Element x y z (fractional)
Yb  0.0000  0.2500  0.5000
Yb  0.0000  0.5000  0.2500
Yb  0.0000  0.5000  0.7500
Yb  0.0000  0.7500  0.5000
Yb  0.2500  0.0000  0.5000
Yb  0.2500  0.5000  0.0000
Yb  0.5000  0.0000  0.2500
Yb  0.5000  0.0000  0.7500
Yb  0.5000  0.2500  0.0000
Yb  0.5000  0.7500  0.0000
Yb  0.7500  0.0000  0.5000
Yb  0.7500  0.5000  0.0000
Ho  0.0000  0.0000  0.0000
Ho  0.5000  0.5000  0.5000



Computed, not measured: Nd2Y3Ho2 after structural relaxation at the PBE level of DFT.

## Properties
**Raw total energy**: -36.51 eV/f.u.
**V**: 33.59 A^3/atom
**ρ**: 6.25 g/cm³
**Energy relative to the elements**: 1.6 eV/f.u.
**Excess energy over the best structure of this formula in the dataset**: 93.3 meV/atom

Unit cell a=8.4848 b=8.4848 c=8.4848 alpha=109.47 beta=109.47 gamma=109.47
Element x y z (fractional)
Nd  0.0000  0.6889  0.5000
Nd  0.5000  0.0000  0.6889
Nd  0.6889  0.5000  0.0000
Nd  0.8111  0.8111  0.8111
Y  0.1931  0.9431  0.2500
Y  0.2500  0.1931  0.9431
Y  0.3069  0.5569  0.7500
Y  0.5569  0.7500  0.3069
Y  0.7500  0.3069  0.5569
Y  0.9431  0.2500  0.1931
Ho  0.0000  0.0861  0.5000
Ho  0.0861  0.5000  0.0000
Ho  0.4139  0.4139  0.4139
Ho  0.5000  0.0000  0.0861



Computed, not measured: SnGe3H after structural relaxation at the PBE level of DFT.

## Properties
**Raw total energy**: -19.18 eV/f.u.
**V**: 17.93 A^3/atom
**ρ**: 6.25 g/cm³

Unit cell a=4.4759 b=4.4759 c=4.4759 alpha=90.00 beta=90.00 gamma=90.00
Element x y z (fractional)
Sn  0.0000  0.0000  0.0000
Ge  0.0000  0.5000  0.5000
Ge  0.5000  0.0000  0.5000
Ge  0.5000  0.5000  0.0000
H  0.5000  0.5000  0.5000